## NaHg2Te (PBE-GGA)

Data for a relaxed structure of NaHg2Te.

Geometry as CIF:
```
data_NaHg2Te
_symmetry_space_group_name_H-M 'I -4 2 d'
_symmetry_Int_Tables_number 122
_symmetry_space_group_name_Hall 'I -4 2bw'
_cell_length_a 9.435
_cell_length_b 9.435
_cell_length_c 5.787
_cell_angle_alpha 90.00
_cell_angle_beta 90.00
_cell_angle_gamma 90.00
loop_
_atom_site_label
_atom_site_fract_x
_atom_site_fract_y
_atom_site_fract_z
Na1 0.000 0.000 0.000
Hg1 0.202 0.750 0.625
Te1 0.000 0.000 0.500
```

Formation energy without anion corrections: -220 meV per atom
Total magnetic moment: 0.000 μB per atom

## Na2HgTe2 (PBE-GGA)

Data for a relaxed structure of Na2HgTe2.

Geometry as CIF:
```
data_Na2HgTe2
_symmetry_space_group_name_H-M 'I b a m'
_symmetry_Int_Tables_number 72
_symmetry_space_group_name_Hall '-I 2 2c'
_cell_length_a 7.369
_cell_length_b 12.491
_cell_length_c 7.052
_cell_angle_alpha 90.00
_cell_angle_beta 90.00
_cell_angle_gamma 90.00
loop_
_atom_site_label
_atom_site_fract_x
_atom_site_fract_y
_atom_site_fract_z
Na1 0.162 0.126 0.000
Hg1 0.000 0.500 0.250
Te1 0.231 0.373 0.000
```

Formation energy without anion corrections: -595 meV per atom
Total magnetic moment: 0.000 μB per atom
Energy relative to the lowest polymorph listed for this composition: 0.0 meV/atom

## Na2Hg2Te (PBE-GGA)

Data for a relaxed structure of Na2Hg2Te.

Geometry as CIF:
```
data_Na2Hg2Te
_symmetry_space_group_name_H-M 'P 4/m b m'
_symmetry_Int_Tables_number 127
_symmetry_space_group_name_Hall '-P 4 2ab'
_cell_length_a 7.980
_cell_length_b 7.980
_cell_length_c 5.078
_cell_angle_alpha 90.00
_cell_angle_beta 90.00
_cell_angle_gamma 90.00
loop_
_atom_site_label
_atom_site_fract_x
_atom_site_fract_y
_atom_site_fract_z
Na1 0.166 0.334 0.000
Hg1 0.145 0.645 0.500
Te1 0.000 0.000 0.000
```

Formation energy without anion corrections: -361 meV per atom
Total magnetic moment: 0.000 μB per atom
Energy relative to the lowest polymorph listed for this composition: 0.0 meV/atom

## Na2Hg2Te3 (PBE-GGA)

Data for a relaxed structure of Na2Hg2Te3.

Geometry as CIF:
```
data_Na2Hg2Te3
_symmetry_space_group_name_H-M 'C 1 2/m 1'
_symmetry_Int_Tables_number 12
_symmetry_space_group_name_Hall '-C 2y'
_cell_length_a 15.519
_cell_length_b 4.628
_cell_length_c 7.694
_cell_angle_alpha 90.00
_cell_angle_beta 113.74
_cell_angle_gamma 90.00
loop_
_atom_site_label
_atom_site_fract_x
_atom_site_fract_y
_atom_site_fract_z
Na1 0.102 0.000 0.385
Hg1 0.184 0.500 0.804
Te1 0.000 0.500 0.500
Te2 0.200 0.500 0.197
```

Formation energy without anion corrections: -425 meV per atom
Total magnetic moment: 0.000 μB per atom
Energy relative to the lowest polymorph listed for this composition: 44.3 meV/atom